A geometry-optimized TlV4Cd3O12 structure, computed with PBE+U.

abc: 7.3941 7.3941 7.3941
angles: 110.72 110.72 110.72
Closest atoms and distances in Å follow each position.
Fractional coordinates of all 20 atoms:
O 0.6421 0.5000 0.3579  1 V 1.73
O 0.5000 0.3579 0.6421  1 V 1.73
O 0.1367 0.6608 0.7958  1 V 1.82
O 0.9289 0.5000 0.0711  1 V 1.76
O 0.3579 0.6421 0.5000  1 V 1.73
O 0.3392 0.8633 0.2042  1 V 1.82
O 0.0711 0.9289 0.5000  1 V 1.76
O 0.2042 0.3392 0.8633  1 V 1.82
O 0.6608 0.7958 0.1367  1 V 1.82
O 0.8633 0.2042 0.3392  1 V 1.82
O 0.7958 0.1367 0.6608  1 V 1.82
O 0.5000 0.0711 0.9289  1 V 1.76
V 0.9266 0.0734 0.5000  3 O 1.76-1.82
V 0.5000 0.9266 0.0734  3 O 1.76-1.82
V 0.5000 0.5000 0.5000  3 O 1.73
V 0.0734 0.5000 0.9266  3 O 1.76-1.82
Cd 0.4334 0.0000 0.5666  6 O 2.23-2.36
Cd 0.0000 0.5666 0.4334  6 O 2.23-2.36
Cd 0.5666 0.4334 0.0000  6 O 2.23-2.36
Tl 0.0000 0.0000 0.0000  6 O 3.13, 2 V 3.46

space-group type	No. 155
crystal system	trigonal
mass density	5.26	g cm⁻³
raw total energy	-6.083	eV/atom